Here is a relaxed structure of Rb3Zn5F12 from Alexandria. Energies are from GGA-PBE.

Lattice parameters (Å, degrees): 12.005 12.005 12.005 109.47 109.47 109.47
Fractional coordinates of all 80 atoms:
1 F 0.181 0.080 0.684
2 F 0.601 0.604 0.420
3 F 0.101 0.181 0.497
4 F 0.896 0.316 0.497
5 F 0.316 0.420 0.819
6 F 0.684 0.580 0.181
7 F 0.604 0.601 0.920
8 F 0.816 0.497 0.396
9 F 0.899 0.080 0.896
10 F 0.899 0.819 0.503
11 F 0.681 0.497 0.601
12 F 0.003 0.399 0.819
13 F 0.920 0.101 0.604
14 F 0.316 0.896 0.997
15 F 0.080 0.181 0.184
16 F 0.681 0.184 0.580
17 F 0.503 0.184 0.104
18 F 0.181 0.101 0.997
19 F 0.920 0.819 0.816
20 F 0.319 0.816 0.420
21 F 0.184 0.503 0.604
22 F 0.319 0.503 0.399
23 F 0.819 0.920 0.316
24 F 0.420 0.316 0.319
25 F 0.399 0.003 0.319
26 F 0.396 0.997 0.816
27 F 0.580 0.896 0.399
28 F 0.104 0.420 0.101
29 F 0.997 0.396 0.316
30 F 0.396 0.399 0.080
31 F 0.399 0.396 0.580
32 F 0.184 0.681 0.080
33 F 0.601 0.997 0.681
34 F 0.003 0.604 0.684
35 F 0.896 0.580 0.899
36 F 0.497 0.816 0.896
37 F 0.997 0.601 0.181
38 F 0.503 0.319 0.899
39 F 0.497 0.681 0.101
40 F 0.604 0.003 0.184
41 F 0.101 0.920 0.104
42 F 0.684 0.104 0.003
43 F 0.104 0.684 0.503
44 F 0.819 0.899 0.003
45 F 0.816 0.319 0.920
46 F 0.580 0.684 0.681
47 F 0.420 0.104 0.601
48 F 0.080 0.899 0.396
49 Zn 0.250 0.375 0.625
50 Zn 0.625 0.875 0.250
51 Zn 0.500 0.500 0.000
52 Zn 0.000 0.500 0.000
53 Zn 0.625 0.750 0.875
54 Zn 0.375 0.250 0.125
55 Zn 0.000 0.500 0.500
56 Zn 0.250 0.875 0.125
57 Zn 0.000 0.000 0.500
58 Zn 0.375 0.125 0.750
59 Zn 0.125 0.375 0.250
60 Zn 0.125 0.750 0.375
61 Zn 0.750 0.625 0.375
62 Zn 0.875 0.625 0.750
63 Zn 0.000 0.000 0.000
64 Zn 0.500 0.000 0.000
65 Zn 0.500 0.000 0.500
66 Zn 0.875 0.250 0.625
67 Zn 0.500 0.500 0.500
68 Zn 0.750 0.125 0.875
69 Rb 0.375 0.625 0.250
70 Rb 0.625 0.375 0.750
71 Rb 0.875 0.125 0.250
72 Rb 0.125 0.250 0.875
73 Rb 0.125 0.875 0.750
74 Rb 0.250 0.125 0.375
75 Rb 0.625 0.250 0.375
76 Rb 0.750 0.375 0.125
77 Rb 0.375 0.750 0.625
78 Rb 0.875 0.750 0.125
79 Rb 0.250 0.625 0.875
80 Rb 0.750 0.875 0.625

Computed properties:
* DOS at the Fermi energy: 0.063 states/eV per atom
* space-group type: Ia-3d
* formation energy (no corrections): -2330.3 meV per atom